First-principles (GGA-PBE) data for a geometry-optimized ErLuZrAl structure, as listed in the Alexandria database.

The value obtained for the density of states at the Fermi level is 27.2 states/eV per cell. The calculated formation energy is -33 meV/atom.

The space group is F-43m (No. 216) and the conventional cell measures 7.2330, 7.2330 and 7.2330 Å, with angles of 90.00, 90.00 and 90.00 degrees. The distinct sites, in fractional coordinates, are Er at (0.0000, 0.0000, 0.0000), Lu at (0.2500, 0.2500, 0.7500), Zr at (0.0000, 0.0000, 0.5000) and Al at (0.2500, 0.2500, 0.2500).

First-principles (GGA-PBE) data for a geometry-optimized ThInRu2 structure, as listed in the Alexandria database.

The value obtained for the density of states at the Fermi level is 3.0 states/eV per cell. The calculated formation energy is -335 meV/atom.

The space group is P4/mmm (No. 123) and the conventional cell measures 4.5991, 4.5991 and 3.6448 Å, with angles of 90.00, 90.00 and 90.00 degrees. The distinct sites, in fractional coordinates, are Th at (0.0000, 0.0000, 0.0000), In at (0.5000, 0.5000, 0.0000) and Ru at (0.0000, 0.5000, 0.5000).

First-principles (GGA-PBE) data for a geometry-optimized Sb2PAu structure, as listed in the Alexandria database.

The value obtained for the density of states at the Fermi level is 5.5 states/eV per cell. The energy relative to the elements, uncorrected comes out at 3.5 kJ per mole of atoms.

The space group is R-3m (No. 166, hexagonal axes) and the conventional cell measures 3.8738, 3.8738 and 21.0553 Å, with angles of 90.00, 90.00 and 120.00 degrees. The distinct sites, in fractional coordinates, are Sb at (0.0000, 0.0000, 0.2468), P at (0.0000, 0.0000, 0.5000) and Au at (0.0000, 0.0000, 0.0000).

First-principles (GGA-PBE) data for a geometry-optimized BaMg2BeRh structure, as listed in the Alexandria database.

The value obtained for the density of states at the Fermi level is 3.4 states/eV per cell. The calculated formation energy is -120 meV/atom.

The space group is P4/mmm (No. 123) and the conventional cell measures 5.0950, 5.0950 and 4.5805 Å, with angles of 90.00, 90.00 and 90.00 degrees. The distinct sites, in fractional coordinates, are Ba at (0.0000, 0.0000, 0.0000), Mg at (0.0000, 0.5000, 0.5000), Be at (0.5000, 0.5000, 0.0000) and Rh at (0.5000, 0.5000, 0.5000).

First-principles (GGA-PBE) data for a geometry-optimized Cs2CdInHg structure, as listed in the Alexandria database.

The value obtained for the density of states at the Fermi level is 5.0 states/eV per cell. The calculated formation energy is 40 meV/atom. Its energy above the most stable polymorph in this dataset is 0.000 eV per atom.

The space group is P4/mmm (No. 123) and the conventional cell measures 7.4756, 7.4756 and 5.3244 Å, with angles of 90.00, 90.00 and 90.00 degrees. The distinct sites, in fractional coordinates, are Cs at (0.0000, 0.5000, 0.0000), Cd at (0.0000, 0.0000, 0.0000), In at (0.0000, 0.0000, 0.5000) and Hg at (0.5000, 0.5000, 0.5000).

First-principles (GGA-PBE) data for a geometry-optimized Nd2NiOs structure, as listed in the Alexandria database.

The value obtained for the density of states at the Fermi level is 1.3 states/eV per cell. The calculated formation energy is -63 meV/atom.

The space group is P4/mmm (No. 123) and the conventional cell measures 3.4776, 3.4776 and 7.1688 Å, with angles of 90.00, 90.00 and 90.00 degrees. The distinct sites, in fractional coordinates, are Nd at (0.0000, 0.0000, 0.2475), Ni at (0.5000, 0.5000, 0.5000) and Os at (0.5000, 0.5000, 0.0000).

First-principles (GGA-PBE) data for a geometry-optimized Ba3NaSr structure, as listed in the Alexandria database.

The value obtained for the density of states at the Fermi level is 13.4 states/eV per cell. The calculated formation energy is 12 meV/atom. Its energy above the most stable polymorph in this dataset is 0.000 eV per atom.

The space group is P-1 (No. 2) and the conventional cell measures 4.6879, 9.6126 and 13.2489 Å, with angles of 100.30, 100.19 and 90.01 degrees. The distinct sites, in fractional coordinates, are Ba at (0.0046, 0.2705, 0.0077), Ba at (0.1881, 0.3549, 0.3773), Ba at (0.1962, 0.8396, 0.3931), Na at (0.4016, 0.4361, 0.8021) and Sr at (0.4058, 0.9634, 0.8101).

First-principles (GGA-PBE) data for a geometry-optimized KPm2PtO4 structure, as listed in the Alexandria database.

The value obtained for the density of states at the Fermi level is 4.7 states/eV per cell. The energy relative to the elements, uncorrected comes out at -204.3 kJ per mole of atoms.

The space group is Cmcm (No. 63) and the conventional cell measures 3.4964, 12.3513 and 13.7983 Å, with angles of 90.00, 90.00 and 90.00 degrees. The distinct sites, in fractional coordinates, are K at (0.0000, 0.1749, 0.2500), Pm at (0.0000, 0.3658, 0.0443), Pt at (0.0000, 0.0750, 0.7500), O at (0.0000, 0.0000, 0.0000), O at (0.0000, 0.2526, 0.5840) and O at (0.0000, 0.4905, 0.2500).

First-principles (GGA-PBE) data for a geometry-optimized Re3PF structure, as listed in the Alexandria database.

The value obtained for the density of states at the Fermi level is 6.4 states/eV per cell. The energy relative to the elements, uncorrected comes out at 131.9 kJ per mole of atoms. Its energy above the most stable polymorph in this dataset is 0.000 eV per atom.

The space group is Pm-3m (No. 221) and the conventional cell measures 4.4031, 4.4031 and 4.4031 Å, with angles of 90.00, 90.00 and 90.00 degrees. The distinct sites, in fractional coordinates, are Re at (0.0000, 0.0000, 0.5000), P at (0.0000, 0.0000, 0.0000) and F at (0.5000, 0.5000, 0.5000).

First-principles (GGA-PBE) data for a geometry-optimized InFe3Pd structure, as listed in the Alexandria database.

The value obtained for the density of states at the Fermi level is 6.8 states/eV per cell. The calculated formation energy is 1017 meV/atom. Its energy above the most stable polymorph in this dataset is 0.000 eV per atom.

The space group is Pm-3m (No. 221) and the conventional cell measures 4.6654, 4.6654 and 4.6654 Å, with angles of 90.00, 90.00 and 90.00 degrees. The distinct sites, in fractional coordinates, are In at (0.0000, 0.0000, 0.0000), Fe at (0.0000, 0.5000, 0.5000) and Pd at (0.5000, 0.5000, 0.5000).

First-principles (GGA-PBE) data for a geometry-optimized YTmAg2 structure, as listed in the Alexandria database.

The value obtained for the density of states at the Fermi level is 2.6 states/eV per cell. The calculated formation energy is -334 meV/atom. Its energy above the most stable polymorph in this dataset is 0.000 eV per atom.

The space group is P4/mmm (No. 123) and the conventional cell measures 3.5960, 3.5960 and 7.3166 Å, with angles of 90.00, 90.00 and 90.00 degrees. The distinct sites, in fractional coordinates, are Y at (0.0000, 0.0000, 0.0000), Tm at (0.0000, 0.0000, 0.5000) and Ag at (0.5000, 0.5000, 0.2603).

First-principles (GGA-PBE) data for a geometry-optimized La2Tb2Sb2H structure, as listed in the Alexandria database.

The value obtained for the density of states at the Fermi level is 15.8 states/eV per cell. Its electronic total energy is -0.1931 Ha/atom.

The space group is I4/mmm (No. 139) and the conventional cell measures 4.6490, 4.6490 and 17.2920 Å, with angles of 90.00, 90.00 and 90.00 degrees. The distinct sites, in fractional coordinates, are La at (0.0000, 0.0000, 0.1775), Tb at (0.0000, 0.5000, 0.0000), Sb at (0.0000, 0.0000, 0.3697) and H at (0.0000, 0.0000, 0.0000).